First-principles (GGA+U) data for SrWO2 after structural relaxation, as listed in the Alexandria database.

Computed properties:
- total energy (Ry/atom) = -0.4726
- energy above the lowest structure with this stoichiometry (meV per atom) = 102.9
- space-group type = Cm (8)

Cell: 6.585 3.385 13.595 Å, 90.00 116.93 90.00°
Fractional coordinates of all 16 atoms:
O: 0.549 0.000 0.236
W: 0.747 0.000 0.716
O: 0.512 0.500 0.436
O: 0.125 0.500 0.561
Sr: 0.250 0.500 0.231
O: 0.969 0.000 0.247
W: 0.747 0.500 0.216
Sr: 0.813 0.000 0.451
O: 0.125 0.000 0.061
O: 0.549 0.500 0.736
O: 0.969 0.500 0.747
Sr: 0.250 0.000 0.731
W: 0.423 0.500 0.552
W: 0.423 0.000 0.052
Sr: 0.813 0.500 0.951
O: 0.512 0.000 0.936